This record from Alexandria describes crystalline FeCS2N at its relaxed geometry. The functional is PBE.

Structure (CIF):
```
data_FeCS2N
_space_group_name_H-M_alt 'P 1'
_space_group_IT_number 1
_cell_length_a 5.464
_cell_length_b 5.464
_cell_length_c 2.439
_cell_angle_alpha 90.00
_cell_angle_beta 90.00
_cell_angle_gamma 90.00
loop_
_space_group_symop_operation_xyz
'x,y,z'
loop_
_atom_site_label
_atom_site_fract_x
_atom_site_fract_y
_atom_site_fract_z
S1 0.000 0.500 0.000
Fe1 0.500 0.500 0.500
N1 0.000 0.000 0.500
C1 0.000 0.000 0.000
S2 0.500 0.000 0.000
```

Values from the calculation:
The crystal system is tetragonal. The value obtained for the calculated total energy is -5.896 eV/atom. As for the density of states at the Fermi level: 4.60 states/eV/f.u. The uncorrected formation energy comes out at 0.957 eV/atom.